ZrTa5 | GGA-PBEsol | optimized geometry

Cell: 2.730 4.937 8.359 Å, 90.00 99.40 90.00°
Element x y z (fractional)
1 Ta 0.009 0.000 0.018
2 Ta 0.431 0.500 0.862
3 Ta 0.681 0.000 0.362
4 Ta 0.344 0.000 0.688
5 Ta 0.769 0.500 0.537
6 Zr 0.100 0.500 0.200

## Properties
ΔH_f (0 K) (kJ/mol of atoms): 22.9